No. 1
Here is LiLa2Er after structural relaxation from Alexandria via LeMat-Bulk. Energies are from PBE-GGA.

Geometry as CIF:
```
data_LiLa2Er
_chemical_formula_sum 'Li4 La8 Er4'
_space_group_name_H-M_alt 'F m -3 m'
_space_group_IT_number 225
_space_group_name_Hall '-F 4 2 3'
_cell_length_a 7.996
_cell_length_b 7.996
_cell_length_c 7.996
_cell_angle_alpha 90.00
_cell_angle_beta 90.00
_cell_angle_gamma 90.00
loop_
_atom_site_label
_atom_site_type_symbol
_atom_site_fract_x
_atom_site_fract_y
_atom_site_fract_z
Li1 Li 0.000 0.000 0.000
La1 La 0.250 0.250 0.250
Er1 Er 0.000 0.000 0.500
```

Output
For the distance to the lowest polymorph of the same formula, the calculation gives 67 meV/atom. The total moment is 0.00 μB/atom. For the calculated density, the calculation gives 5.87 g/cm³. As for the energy of formation from the pure elements: 13 kJ per mole of atoms.


No. 2
Here is Ag2TeIr after structural relaxation from Alexandria via LeMat-Bulk. Energies are from PBE-GGA.

Geometry as CIF:
```
data_Ag2TeIr
_chemical_formula_sum 'Ag4 Te2 Ir2'
_space_group_name_H-M_alt 'C 1 m 1'
_space_group_IT_number 8
_cell_length_a 8.615
_cell_length_b 3.903
_cell_length_c 5.937
_cell_angle_alpha 90.00
_cell_angle_beta 124.34
_cell_angle_gamma 90.00
loop_
_space_group_symop_operation_xyz
'x,y,z'
'x,-y,z'
'x+1/2,y+1/2,z'
'x+1/2,-y+1/2,z'
loop_
_atom_site_label
_atom_site_type_symbol
_atom_site_fract_x
_atom_site_fract_y
_atom_site_fract_z
Ag1 Ag 0.000 0.000 0.000
Ag2 Ag 0.212 0.000 0.760
Te1 Te 0.409 0.000 0.361
Ir1 Ir 0.244 0.500 0.433
```

Output
The total moment is 0.00 μB/atom. The formation energy (no corrections) is 0.24 eV/atom. For the calculated density, the calculation gives 10.79 g/cm³.


> Number 1 is which compound?

LiLa2Er


> What is the calculated density in the second record?

10.79 g/cm³


> Which value of calculated density does entry 2 give?

10.79 g/cm³